# KNaMnH6 PBE optimized geometry
data_KNaMnH6
_chemical_formula_sum 'K1 Na1 Mn1 H6'
_cell_length_a 4.914
_cell_length_b 5.240
_cell_length_c 5.253
_cell_angle_alpha 60.12
_cell_angle_beta 89.66
_cell_angle_gamma 89.85
_symmetry_space_group_name_H-M 'P 1'
_symmetry_Int_Tables_number 1
_symmetry_space_group_name_Hall 'P 1'
loop_
_atom_site_label
_atom_site_type_symbol
_atom_site_fract_x
_atom_site_fract_y
_atom_site_fract_z
K1 K 0.000 0.000 0.000
Na1 Na 0.519 0.332 0.334
Mn1 Mn 0.623 0.666 0.668
H1 H 0.453 0.356 0.869
H2 H 0.455 0.780 0.357
H3 H 0.455 0.868 0.778
H4 H 0.833 0.519 0.534
H5 H 0.834 0.536 0.945
H6 H 0.836 0.944 0.521
# N(E_F)   0.000 states/eV/f.u.
# Total energy   -3.575 eV per atom